w.
Below is a relaxed structure of CaTb2Pb, with properties calculated at the GGA-PBE level.

a b c (Å): 3.590 3.590 12.550
angles (deg): 81.78 81.78 60.00
Atoms (fractional coordinates):
Ca (0.500, 0.500, 0.500)
Pb (0.000, 0.000, 0.000)
Tb (0.085, 0.085, 0.745)
Tb (0.915, 0.915, 0.255)

Summary:
* total moment: 0.0 μB per cell
* SG: R-3m, No. 166
* theoretical density: 6.79 g/cm³

=====

x.
Below is a relaxed structure of CaTb2Pb, with properties calculated at the GGA-PBE level.

a b c (Å): 4.925 4.930 4.930
angles (deg): 90.00 90.00 90.00
Atoms (fractional coordinates):
Tb (0.000, 0.500, 0.000)
Tb (0.000, 0.000, 0.500)
Pb (0.500, 0.000, 0.000)
Ca (0.500, 0.500, 0.500)

Summary:
* total moment: 0.0 μB per cell
* SG: P4/mmm, No. 123
* theoretical density: 7.84 g/cm³

=====

y.
Below is a relaxed structure of CaTb2Pb, with properties calculated at the GGA-PBE level.

a b c (Å): 5.202 5.202 6.866
angles (deg): 67.74 67.74 60.00
Atoms (fractional coordinates):
Ca (0.491, 0.491, 0.526)
Tb (0.055, 0.055, 0.835)
Tb (0.276, 0.276, 0.171)
Pb (0.677, 0.677, 0.968)

Summary:
* total moment: 0.0 μB per cell
* SG: R3m, No. 160
* theoretical density: 6.49 g/cm³

=====

Sorted by energy, starting with the most stable: x, y, w.

=====

w.
Below is a relaxed structure of Ca2TePb2, with properties calculated at the GGA-PBE level.

a b c (Å): 8.244 8.244 4.929
angles (deg): 90.00 90.00 90.00
Atoms (fractional coordinates):
Ca (0.329, 0.829, 0.000)
Ca (0.171, 0.329, 0.000)
Ca (0.829, 0.671, 0.000)
Ca (0.671, 0.171, 0.000)
Pb (0.630, 0.870, 0.500)
Pb (0.370, 0.130, 0.500)
Pb (0.870, 0.370, 0.500)
Pb (0.130, 0.630, 0.500)
Te (0.000, 0.000, 0.000)
Te (0.500, 0.500, 0.000)

Summary:
* total moment: 0.0 μB per cell
* SG: P4/mbm, No. 127
* theoretical density: 6.17 g/cm³

=====

x.
Below is a relaxed structure of Ca2TePb2, with properties calculated at the GGA-PBE level.

a b c (Å): 8.416 8.416 4.555
angles (deg): 90.00 90.00 90.00
Atoms (fractional coordinates):
Pb (0.131, 0.369, 0.000)
Pb (0.869, 0.631, 0.000)
Pb (0.631, 0.131, 0.000)
Pb (0.369, 0.869, 0.000)
Te (0.000, 0.000, 0.000)
Te (0.500, 0.500, 0.000)
Ca (0.172, 0.672, 0.500)
Ca (0.328, 0.172, 0.500)
Ca (0.672, 0.828, 0.500)
Ca (0.828, 0.328, 0.500)

Summary:
* total moment: 0.0 μB per cell
* SG: P4/mbm, No. 127
* theoretical density: 6.40 g/cm³

=====

Sorted by energy, starting with the most stable: w, x.